--- 1 ---
This record from Alexandria via LeMat-Bulk describes CrWAu2 after structural relaxation. The functional is PBE-GGA.

Unit cell a=9.376 b=9.376 c=9.376 alpha=17.73 beta=17.73 gamma=17.73
Sites, in units of the cell vectors:
Cr 0.000 0.000 0.000
W 0.500 0.500 0.500
Au 0.252 0.252 0.252
Au 0.748 0.748 0.748

Computed properties:
Total moment: 0.853 μB/atom
N(E_F): 3.34 states/eV/f.u.

***

--- 2 ---
This record from Alexandria via LeMat-Bulk describes CrWAu2 after structural relaxation. The functional is PBE-GGA.

Unit cell a=4.898 b=4.898 c=4.898 alpha=131.52 beta=131.52 gamma=70.99
Sites, in units of the cell vectors:
Cr 0.000 0.000 0.000
W 0.250 0.750 0.500
Au 0.500 0.500 0.000
Au 0.750 0.250 0.500

Computed properties:
Total moment: 0.292 μB/atom
N(E_F): 5.13 states/eV/f.u.

***

--- 3 ---
This record from Alexandria via LeMat-Bulk describes CrWAu2 after structural relaxation. The functional is PBE-GGA.

Unit cell a=4.502 b=4.502 c=4.502 alpha=60.00 beta=60.00 gamma=60.00
Sites, in units of the cell vectors:
Cr 0.000 0.000 0.000
W 0.500 0.500 0.500
Au 0.250 0.250 0.250
Au 0.750 0.750 0.750

Computed properties:
Total moment: 0.000 μB/atom
N(E_F): 8.43 states/eV/f.u.

***

--- 4 ---
This record from Alexandria via LeMat-Bulk describes CrWAu2 after structural relaxation. The functional is PBE-GGA.

Unit cell a=4.516 b=4.516 c=4.516 alpha=60.00 beta=60.00 gamma=60.00
Sites, in units of the cell vectors:
Cr 0.000 0.000 0.000
W 0.250 0.250 0.250
Au 0.500 0.500 0.500
Au 0.750 0.750 0.750

Computed properties:
Total moment: 0.287 μB/atom
N(E_F): 5.71 states/eV/f.u.

***

Most stable structure, least stable structure: 2, 3.

***

--- 1 ---
This record from Alexandria via LeMat-Bulk describes CrWAu2 after structural relaxation. The functional is PBE-GGA.

Unit cell a=3.163 b=3.163 c=6.513 alpha=90.00 beta=90.00 gamma=90.00
Sites, in units of the cell vectors:
Cr 0.000 0.000 0.000
W 0.500 0.500 0.178
Au 0.000 0.000 0.456
Au 0.500 0.500 0.738

Computed properties:
Total moment: 0.137 μB/atom
N(E_F): 2.61 states/eV/f.u.

***

--- 2 ---
This record from Alexandria via LeMat-Bulk describes CrWAu2 after structural relaxation. The functional is PBE-GGA.

Unit cell a=10.105 b=10.105 c=10.105 alpha=158.73 beta=158.73 gamma=30.26
Sites, in units of the cell vectors:
Cr 0.000 0.000 0.000
Cr 0.750 0.250 0.500
W 0.250 0.750 0.500
W 0.500 0.500 0.000
Au 0.122 0.625 0.997
Au 0.375 0.372 0.497
Au 0.628 0.125 0.003
Au 0.875 0.878 0.503

Computed properties:
Total moment: 0.000 μB/atom
N(E_F): 3.02 states/eV/f.u.

***

Most stable structure, least stable structure: 1, 2.

***

--- 1 ---
This record from Alexandria via LeMat-Bulk describes CrW3Au after structural relaxation. The functional is PBE-GGA.

Unit cell a=4.836 b=4.836 c=4.836 alpha=90.00 beta=90.00 gamma=90.00
Sites, in units of the cell vectors:
Cr 0.000 0.000 0.000
W 0.000 0.500 0.500
W 0.500 0.000 0.500
W 0.500 0.500 0.000
Au 0.500 0.500 0.500

Computed properties:
Total moment: 0.737 μB/atom
N(E_F): 6.68 states/eV/f.u.

***

--- 2 ---
This record from Alexandria via LeMat-Bulk describes CrW3Au after structural relaxation. The functional is PBE-GGA.

Unit cell a=4.491 b=4.491 c=4.491 alpha=90.00 beta=90.00 gamma=90.00
Sites, in units of the cell vectors:
Cr 0.000 0.000 0.000
W 0.000 0.000 0.500
W 0.000 0.500 0.000
W 0.500 0.000 0.000
Au 0.500 0.500 0.500

Computed properties:
Total moment: 0.000 μB/atom
N(E_F): 2.98 states/eV/f.u.

***

Most stable structure, least stable structure: 2, 1.

***

--- 1 ---
This record from Alexandria via LeMat-Bulk describes CrW2Au after structural relaxation. The functional is PBE-GGA.

Unit cell a=4.780 b=4.780 c=4.780 alpha=130.41 beta=130.41 gamma=72.76
Sites, in units of the cell vectors:
Cr 0.000 0.000 0.000
W 0.250 0.750 0.500
W 0.500 0.500 0.000
Au 0.750 0.250 0.500

Computed properties:
Total moment: 0.184 μB/atom
N(E_F): 4.21 states/eV/f.u.

***

--- 2 ---
This record from Alexandria via LeMat-Bulk describes CrW2Au after structural relaxation. The functional is PBE-GGA.

Unit cell a=3.870 b=3.870 c=4.124 alpha=90.00 beta=90.00 gamma=90.00
Sites, in units of the cell vectors:
Cr 0.000 0.000 0.000
W 0.000 0.500 0.500
W 0.500 0.000 0.500
Au 0.500 0.500 0.000

Computed properties:
Total moment: 0.306 μB/atom
N(E_F): 3.50 states/eV/f.u.

***

--- 3 ---
This record from Alexandria via LeMat-Bulk describes CrW2Au after structural relaxation. The functional is PBE-GGA.

Unit cell a=4.848 b=4.848 c=2.809 alpha=90.00 beta=90.00 gamma=110.82
Sites, in units of the cell vectors:
Cr 0.000 0.000 0.000
W 0.000 0.500 0.500
W 0.500 0.000 0.500
Au 0.500 0.500 0.000

Computed properties:
Total moment: 0.000 μB/atom
N(E_F): 3.30 states/eV/f.u.

***

Most stable structure, least stable structure: 2, 3.

***

--- 1 ---
This record from Alexandria via LeMat-Bulk describes Y2CrAu after structural relaxation. The functional is PBE-GGA.

Unit cell a=10.538 b=10.538 c=10.538 alpha=155.09 beta=155.09 gamma=35.51
Sites, in units of the cell vectors:
Y 0.119 0.625 0.994
Y 0.375 0.369 0.494
Y 0.631 0.125 0.006
Y 0.875 0.881 0.506
Cr 0.250 0.750 0.500
Cr 0.500 0.500 0.000
Au 0.000 0.000 0.000
Au 0.750 0.250 0.500

Computed properties:
Total moment: 1.070 μB/atom
N(E_F): 3.66 states/eV/f.u.

***

--- 2 ---
This record from Alexandria via LeMat-Bulk describes Y2CrAu after structural relaxation. The functional is PBE-GGA.

Unit cell a=6.151 b=6.151 c=4.865 alpha=112.92 beta=112.92 gamma=34.20
Sites, in units of the cell vectors:
Y 0.000 0.000 0.000
Y 0.220 0.220 0.717
Cr 0.443 0.443 0.444
Au 0.750 0.750 0.247

Computed properties:
Total moment: 0.786 μB/atom
N(E_F): 4.25 states/eV/f.u.

***

Most stable structure, least stable structure: 2, 1.

***

--- 1 ---
This record from Alexandria via LeMat-Bulk describes Y2CrAu after structural relaxation. The functional is PBE-GGA.

Unit cell a=4.673 b=5.786 c=5.786 alpha=38.05 beta=90.00 gamma=90.00
Sites, in units of the cell vectors:
Y 0.000 0.000 0.000
Y 0.500 0.295 0.295
Cr 0.000 0.721 0.721
Au 0.500 0.575 0.575

Computed properties:
Total moment: 0.922 μB/atom
N(E_F): 4.79 states/eV/f.u.

***

--- 2 ---
This record from Alexandria via LeMat-Bulk describes Y2CrAu after structural relaxation. The functional is PBE-GGA.

Unit cell a=3.624 b=3.624 c=7.096 alpha=90.00 beta=90.00 gamma=90.00
Sites, in units of the cell vectors:
Y 0.000 0.000 0.249
Y 0.000 0.000 0.751
Cr 0.500 0.500 0.000
Au 0.500 0.500 0.500

Computed properties:
Total moment: 0.926 μB/atom
N(E_F): 2.41 states/eV/f.u.

***

--- 3 ---
This record from Alexandria via LeMat-Bulk describes Y2CrAu after structural relaxation. The functional is PBE-GGA.

Unit cell a=5.000 b=5.000 c=5.000 alpha=60.00 beta=60.00 gamma=60.00
Sites, in units of the cell vectors:
Y 0.000 0.000 0.000
Y 0.250 0.250 0.250
Cr 0.750 0.750 0.750
Au 0.500 0.500 0.500

Computed properties:
Total moment: 1.204 μB/atom
N(E_F): 2.10 states/eV/f.u.

***

Most stable structure, least stable structure: 2, 3.